1.
Material: Li4CuSn2Au
Method: DFT, PBE-GGA
State: optimized geometry

## Properties
The value obtained for the mass density is 6.8 g/cm³. The uncorrected energy comes out at -3.254 eV/atom.

a = 4.504 Å, b = 4.504 Å, c = 6.373 Å
α = 90.00°, β = 90.00°, γ = 90.00°
Sites, in units of the cell vectors:
Sn 0.000 0.500 0.735
Sn 0.500 0.000 0.265
Li 0.000 0.500 0.252
Li 0.500 0.000 0.748
Li 0.500 0.500 0.500
Li 0.000 0.000 0.000
Au 0.500 0.500 0.000
Cu 0.000 0.000 0.500

***

2.
Material: Li2ZnCu2SnAu2
Method: DFT, PBE-GGA
State: optimized geometry

## Properties
The value obtained for the mass density is 9.7 g/cm³. The uncorrected energy comes out at -3.162 eV/atom.

a = 4.355 Å, b = 4.355 Å, c = 6.489 Å
α = 90.00°, β = 90.00°, γ = 90.00°
Sites, in units of the cell vectors:
Cu 0.000 0.500 0.274
Cu 0.500 0.000 0.726
Au 0.000 0.500 0.726
Au 0.500 0.000 0.274
Zn 0.500 0.500 0.500
Sn 0.000 0.000 0.000
Li 0.000 0.000 0.500
Li 0.500 0.500 0.000

***

3.
Material: LiZn4Cu2Au
Method: DFT, PBE-GGA
State: optimized geometry

## Properties
The value obtained for the mass density is 8.7 g/cm³. The uncorrected energy comes out at -2.357 eV/atom.

a = 4.396 Å, b = 5.532 Å, c = 4.632 Å
α = 90.00°, β = 90.00°, γ = 90.00°
Sites, in units of the cell vectors:
Zn 0.000 0.742 0.180
Zn 0.500 0.257 0.827
Zn 0.500 0.743 0.827
Zn 0.000 0.258 0.180
Li 0.500 0.500 0.331
Cu 0.000 0.500 0.682
Cu 0.500 0.000 0.305
Au 0.000 0.000 0.669

***

4.
Material: LuCuAu
Method: DFT, PBE-GGA
State: optimized geometry

## Properties
The value obtained for the mass density is 10.6 g/cm³. For the formation energy, the calculation gives -0.1406 eV per atom. The uncorrected energy comes out at -3.976 eV/atom. The size of the total moment comes out at 0.0 μB/cell.

a = 4.593 Å, b = 4.593 Å, c = 4.593 Å
α = 60.00°, β = 60.00°, γ = 60.00°
Sites, in units of the cell vectors:
Cu 0.750 0.750 0.750
Au 0.250 0.250 0.250
Lu 0.000 0.000 0.000

***

5.
Material: Lu2CuAu
Method: DFT, PBE-GGA
State: optimized geometry

## Properties
The value obtained for the mass density is 13.3 g/cm³. For the formation energy, the calculation gives -0.2706 eV per atom. The uncorrected energy comes out at -4.278 eV/atom. The size of the total moment comes out at 0.0 μB/cell.

a = 4.764 Å, b = 4.764 Å, c = 4.764 Å
α = 60.00°, β = 60.00°, γ = 60.00°
Sites, in units of the cell vectors:
Au 0.500 0.500 0.500
Lu 0.000 0.000 0.000
Lu 0.250 0.250 0.250
Cu 0.750 0.750 0.750

***

6.
Material: LuCuAu
Method: DFT, PBE-GGA
State: optimized geometry

## Properties
The value obtained for the mass density is 11.0 g/cm³. For the formation energy, the calculation gives -0.3762 eV per atom. The uncorrected energy comes out at -4.212 eV/atom. The size of the total moment comes out at 0.0 μB/cell.

a = 4.535 Å, b = 4.535 Å, c = 4.535 Å
α = 60.00°, β = 60.00°, γ = 60.00°
Sites, in units of the cell vectors:
Lu 0.750 0.750 0.750
Au 0.000 0.000 0.000
Cu 0.250 0.250 0.250

***

7.
Material: LuCuPbAu
Method: DFT, PBE-GGA
State: optimized geometry

## Properties
The value obtained for the mass density is 12.9 g/cm³. The uncorrected energy comes out at -4.125 eV/atom. The size of the total moment comes out at 0.0 μB/cell.

a = 4.892 Å, b = 4.892 Å, c = 4.892 Å
α = 60.00°, β = 60.00°, γ = 60.00°
Sites, in units of the cell vectors:
Cu 0.750 0.750 0.750
Lu 0.500 0.500 0.500
Pb 0.000 0.000 0.000
Au 0.250 0.250 0.250

***

8.
Material: LuCuPbAu
Method: DFT, PBE-GGA
State: optimized geometry

## Properties
The value obtained for the mass density is 12.9 g/cm³. The uncorrected energy comes out at -4.053 eV/atom. The size of the total moment comes out at 0.0 μB/cell.

a = 4.887 Å, b = 4.887 Å, c = 4.887 Å
α = 60.00°, β = 60.00°, γ = 60.00°
Sites, in units of the cell vectors:
Cu 0.750 0.750 0.750
Au 0.500 0.500 0.500
Lu 0.250 0.250 0.250
Pb 0.000 0.000 0.000